Record 1
This record from the Alexandria database describes a crystal of Li2CoRe relaxed with PBEsol. The functional is meta-GGA SCAN.

The spin magnetization comes out at 0.15 μB per atom. The excess energy over the best structure of this formula in the dataset comes out at 223 meV/atom. For the energy of formation, the calculation gives 0.4514 eV/atom.

The space group is I4/mmm (No. 139) and the conventional cell measures 3.3474, 3.3474 and 8.8854 Å, with angles of 90.00, 90.00 and 90.00 degrees. The inequivalent atoms are Li at (0.0000, 0.5000, 0.2500), Co at (0.0000, 0.0000, 0.0000) and Re at (0.0000, 0.0000, 0.5000).

Record 2
This record from the Alexandria database describes a crystal of LiCoRe2Sb relaxed with PBEsol. The functional is meta-GGA SCAN.

The formation energy without anion corrections comes out at 2.08 eV per atom. The spin magnetization comes out at 0.64 μB per atom.

The space group is P4/mmm (No. 123) and the conventional cell measures 4.8153, 4.8153 and 4.3768 Å, with angles of 90.00, 90.00 and 90.00 degrees. The inequivalent atoms are Li at (0.0000, 0.0000, 0.0000), Co at (0.5000, 0.5000, 0.0000), Re at (0.0000, 0.5000, 0.5000) and Sb at (0.0000, 0.0000, 0.5000).

Record 3
This record from the Alexandria database describes a crystal of LiCoRh2 relaxed with PBEsol. The functional is meta-GGA SCAN.

The spin magnetization comes out at 0.79 μB per atom. The excess energy over the best structure of this formula in the dataset comes out at 108 meV/atom. For the energy of formation, the calculation gives 0.0000 eV/atom.

The space group is Cmmm (No. 65) and the conventional cell measures 2.6989, 4.4236 and 8.6142 Å, with angles of 90.00, 90.00 and 90.00 degrees. The inequivalent atoms are Li at (0.0000, 0.0000, 0.0000), Co at (0.0000, 0.0000, 0.5000) and Rh at (0.0000, 0.5000, 0.2556).

Record 4
This record from the Alexandria database describes a crystal of LiCo3Rh relaxed with PBEsol. The functional is meta-GGA SCAN.

The spin magnetization comes out at 1.50 μB per atom. For the energy of formation, the calculation gives 1.0183 eV/atom.

The space group is Pm-3m (No. 221) and the conventional cell measures 4.5028, 4.5028 and 4.5028 Å, with angles of 90.00, 90.00 and 90.00 degrees. The inequivalent atoms are Li at (0.0000, 0.0000, 0.0000), Co at (0.0000, 0.5000, 0.5000) and Rh at (0.5000, 0.5000, 0.5000).

Record 5
This record from the Alexandria database describes a crystal of LiCo2Rh relaxed with PBEsol. The functional is meta-GGA SCAN.

The spin magnetization comes out at 1.11 μB per atom. For the energy of formation, the calculation gives 0.0597 eV/atom.

The space group is P4mm (No. 99) and the conventional cell measures 2.8250, 2.8250 and 5.6680 Å, with angles of 90.00, 90.00 and 90.00 degrees. The inequivalent atoms are Li at (0.0000, 0.0000, 0.0000), Co at (0.0000, 0.0000, 0.5329), Co at (0.5000, 0.5000, 0.7549) and Rh at (0.5000, 0.5000, 0.2560).

Record 6
This record from the Alexandria database describes a crystal of LiCoRh2 relaxed with PBEsol. The functional is meta-GGA SCAN.

The spin magnetization comes out at 0.85 μB per atom. The excess energy over the best structure of this formula in the dataset comes out at 88 meV/atom. For the energy of formation, the calculation gives -0.0201 eV/atom.

The space group is P2/m (No. 10) and the conventional cell measures 2.5819, 4.1072 and 4.7351 Å, with angles of 90.00, 94.79 and 90.00 degrees. The inequivalent atoms are Li at (0.0000, 0.0000, 0.0000), Co at (0.5000, 0.0000, 0.5000) and Rh at (0.2364, 0.5000, 0.7555).

Record 7
This record from the Alexandria database describes a crystal of LiCo2Rh relaxed with PBEsol. The functional is meta-GGA SCAN.

The spin magnetization comes out at 1.18 μB per atom. For the energy of formation, the calculation gives 0.4539 eV/atom.

The space group is I-42d (No. 122) and the conventional cell measures 6.4818, 6.4818 and 4.7240 Å, with angles of 90.00, 90.00 and 90.00 degrees. The inequivalent atoms are Li at (0.0000, 0.0000, 0.0000), Co at (0.2500, 0.2500, 0.1250) and Rh at (0.0000, 0.0000, 0.5000).

Record 8
This record from the Alexandria database describes a crystal of LiCo2Rh relaxed with PBEsol. The functional is meta-GGA SCAN.

The spin magnetization comes out at 1.07 μB per atom. For the energy of formation, the calculation gives 0.0701 eV/atom.

The space group is P2/m (No. 10) and the conventional cell measures 2.5076, 3.9296 and 4.7757 Å, with angles of 90.00, 103.86 and 90.00 degrees. The inequivalent atoms are Li at (0.0000, 0.0000, 0.0000), Co at (0.4540, 0.5000, 0.2426) and Rh at (0.0000, 0.0000, 0.5000).

Record 9
This record from the Alexandria database describes a crystal of LiCo2Rh relaxed with PBEsol. The functional is meta-GGA SCAN.

The spin magnetization comes out at 1.09 μB per atom. For the energy of formation, the calculation gives 0.0250 eV/atom.

The space group is Pmmm (No. 47) and the conventional cell measures 2.7620, 3.9271 and 4.1639 Å, with angles of 90.00, 90.00 and 90.00 degrees. The inequivalent atoms are Li at (0.0000, 0.0000, 0.0000), Co at (0.0000, 0.5000, 0.5000), Co at (0.5000, 0.0000, 0.5000) and Rh at (0.5000, 0.5000, 0.0000).

Record 10
This record from the Alexandria database describes a crystal of LiCoRh2 relaxed with PBEsol. The functional is meta-GGA SCAN.

The spin magnetization comes out at 1.03 μB per atom. The excess energy over the best structure of this formula in the dataset comes out at 0 meV/atom. For the energy of formation, the calculation gives -0.1081 eV/atom.

The space group is Fm-3m (No. 225) and the conventional cell measures 5.7864, 5.7864 and 5.7864 Å, with angles of 90.00, 90.00 and 90.00 degrees. The inequivalent atoms are Li at (0.0000, 0.0000, 0.0000), Co at (0.0000, 0.0000, 0.5000) and Rh at (0.2500, 0.2500, 0.2500).

Record 11
This record from the Alexandria database describes a crystal of LiCoRh2 relaxed with PBEsol. The functional is meta-GGA SCAN.

The spin magnetization comes out at 0.79 μB per atom. The excess energy over the best structure of this formula in the dataset comes out at 31 meV/atom. For the energy of formation, the calculation gives -0.0775 eV/atom.

The space group is R-3m (No. 166, hexagonal axes) and the conventional cell measures 2.6335, 2.6335 and 25.4911 Å, with angles of 90.00, 90.00 and 120.00 degrees. The inequivalent atoms are Li at (0.0000, 0.0000, 0.0000), Co at (0.0000, 0.0000, 0.5000) and Rh at (0.0000, 0.0000, 0.2467).

Record 12
This record from the Alexandria database describes a crystal of LiCo2Rh relaxed with PBEsol. The functional is meta-GGA SCAN.

The spin magnetization comes out at 1.11 μB per atom. For the energy of formation, the calculation gives 0.1916 eV/atom.

The space group is Cmmm (No. 65) and the conventional cell measures 2.6494, 4.2792 and 8.6285 Å, with angles of 90.00, 90.00 and 90.00 degrees. The inequivalent atoms are Li at (0.0000, 0.0000, 0.0000), Co at (0.0000, 0.5000, 0.2519) and Rh at (0.0000, 0.0000, 0.5000).

Record 13
This record from the Alexandria database describes a crystal of LiCoRu2 relaxed with PBEsol. The functional is meta-GGA SCAN.

The spin magnetization comes out at 0.54 μB per atom. The excess energy over the best structure of this formula in the dataset comes out at 34 meV/atom. For the energy of formation, the calculation gives 0.2245 eV/atom.

The space group is I-4m2 (No. 119) and the conventional cell measures 3.6341, 3.6341 and 7.2184 Å, with angles of 90.00, 90.00 and 90.00 degrees. The inequivalent atoms are Li at (0.0000, 0.0000, 0.0000), Co at (0.0000, 0.5000, 0.7500), Ru at (0.0000, 0.0000, 0.5000) and Ru at (0.0000, 0.5000, 0.2500).

Record 14
This record from the Alexandria database describes a crystal of LiCoRu2 relaxed with PBEsol. The functional is meta-GGA SCAN.

The spin magnetization comes out at 0.48 μB per atom. The excess energy over the best structure of this formula in the dataset comes out at 152 meV/atom. For the energy of formation, the calculation gives 0.3425 eV/atom.

The space group is Cmm2 (No. 35) and the conventional cell measures 2.6925, 4.3912 and 8.7753 Å, with angles of 90.00, 90.00 and 90.00 degrees. The inequivalent atoms are Li at (0.0000, 0.0000, 0.0000), Co at (0.0000, 0.5000, 0.7524), Ru at (0.0000, 0.0000, 0.5146) and Ru at (0.0000, 0.5000, 0.2607).

Record 15
This record from the Alexandria database describes a crystal of LiCoRu2 relaxed with PBEsol. The functional is meta-GGA SCAN.

The spin magnetization comes out at 0.48 μB per atom. The excess energy over the best structure of this formula in the dataset comes out at 37 meV/atom. For the energy of formation, the calculation gives 0.2276 eV/atom.

The space group is Cm (No. 8) and the conventional cell measures 8.5720, 2.5732 and 4.4219 Å, with angles of 90.00, 99.01 and 90.00 degrees. The inequivalent atoms are Li at (0.0000, 0.0000, 0.0000), Co at (0.2535, 0.5000, 0.2052), Ru at (0.2388, 0.0000, 0.7138) and Ru at (0.4865, 0.0000, 0.4917).